[1]
First-principles (PBE) data for a geometry-optimized MgZn6Ga6 structure, as listed in Alexandria via LeMat-Bulk.

ΔE to the lowest computed polymorph	6	meV/atom
ΔH_f (0 K)	0.26	eV/f.u.
SG	No. 71

Cell and atoms, written as POSCAR:
```
MgZn6Ga6
1.0
-1.0802 -0.7702 5.0714
-3.7572 -5.9158 1.0105
5.2160 -3.4768 3.2922
Mg Zn Ga
1 6 6
Cartesian
0.0000 0.0000 0.0000
-1.8786 -2.9579 0.5052
-2.4187 -3.3430 3.0409
2.6080 -1.7384 1.6461
2.0679 -2.1235 4.1818
-2.0707 -5.6957 4.1123
2.4494 -4.4671 5.2617
0.6145 -6.5251 4.5583
-0.2358 -3.6377 4.8158
2.0045 -4.3497 2.4756
-0.5456 -5.0429 1.8271
-0.1208 -1.8091 2.4087
0.4994 -8.3537 6.9653
```



[2]
First-principles (PBE) data for a geometry-optimized Al2BRh2 structure, as listed in Alexandria via LeMat-Bulk.

ΔH_f (0 K)	-2.83	eV/f.u.
SG	No. 127

Cell and atoms, written as POSCAR:
```
Al2BRh2
1.0
-0.8242 -3.6138 -4.3694
4.7822 -2.8154 1.4266
-2.1658 -2.4465 2.4319
B Rh Al
2 4 4
Cartesian
0.0000 0.0000 0.0000
1.9790 -3.2146 -1.4714
3.7059 -3.5435 -0.2643
2.5077 -4.8876 -2.6836
0.2521 -2.8858 -2.6785
1.4503 -1.5417 -0.2593
1.9448 -3.6651 1.4559
2.3854 -5.9740 -0.4745
-0.1526 -5.2106 -1.9668
-0.5932 -2.9017 -0.0365
```



[3]
First-principles (PBE) data for a geometry-optimized AcGe3 structure, as listed in Alexandria via LeMat-Bulk.

ΔE to the lowest computed polymorph	227	meV/atom
ΔH_f (0 K)	-0.88	eV/f.u.
SG	No. 71

Cell and atoms, written as POSCAR:
```
AcGe3
1.0
-2.2456 -3.9661 0.1846
3.7302 -2.1900 -1.6730
0.7809 2.4141 5.0094
Ac Ge
1 3
Cartesian
3.4195 -2.0076 -1.5336
2.3112 -1.2424 1.4229
0.4315 -2.8956 -0.6048
-0.6677 -2.1344 2.3770
```



[4]
First-principles (PBE) data for a geometry-optimized CdIn2Co2 structure, as listed in Alexandria via LeMat-Bulk.

ΔE to the lowest computed polymorph	264	meV/atom
ΔH_f (0 K)	2.08	eV/f.u.
SG	No. 139

Cell and atoms, written as POSCAR:
```
CdIn2Co2
1.0
-0.4021 3.9367 -1.1455
-4.0800 -0.4977 -0.2781
-2.7845 3.2088 4.5970
Cd Co In
1 2 2
Cartesian
0.0000 0.0000 0.0000
-2.3490 2.0154 0.3428
-4.9176 4.6325 2.8306
-2.7138 4.4325 1.3698
-4.5528 2.2153 1.8036
```



[5]
First-principles (PBE) data for a geometry-optimized KSN2O structure, as listed in Alexandria via LeMat-Bulk.

SG	No. 123

Cell and atoms, written as POSCAR:
```
KSN2O
1.0
-3.1146 3.1150 2.6534
-1.9504 -4.0616 2.4788
2.4371 0.3353 2.4670
K S O N
1 1 1 2
Cartesian
-1.3139 -0.3056 3.7996
1.2185 0.1677 1.2335
0.0000 0.0000 0.0000
-0.9752 -2.0308 1.2394
-1.5573 1.5575 1.3267
```



[6]
First-principles (PBE) data for a geometry-optimized Hg3H2Cl8 structure, as listed in Alexandria via LeMat-Bulk.

SG	No. 15

Cell and atoms, written as POSCAR:
```
Hg3H2Cl8
1.0
-0.2477 -6.2260 -5.1006
0.7418 1.0745 -7.9458
19.2194 0.2084 7.2184
Hg H Cl
6 4 16
Cartesian
4.5587 -6.1626 -3.3004
15.1548 1.2195 -2.5276
11.3076 -2.6167 1.6881
17.6120 -5.1994 -2.7465
8.4059 -2.3263 -7.5161
2.1014 0.2564 -3.0815
16.6037 -3.1233 -5.0098
12.9694 0.1292 2.0721
3.1097 -1.8197 -0.8182
6.7440 -5.0722 -7.9001
0.3357 -4.2166 -7.9369
9.5184 -2.6728 -0.7824
19.3777 -0.7265 2.1089
10.1951 -2.2702 -5.0456
3.6233 -1.4960 -2.9406
6.5132 -3.3102 -6.5905
16.0902 -3.4470 -2.8874
13.2003 -1.6329 0.7625
3.6721 -4.1372 -9.8964
6.4820 -0.5386 0.3144
16.3852 -4.2302 1.7311
12.3163 -5.1960 -2.1621
3.3283 -0.7128 -7.5591
7.3972 0.2530 -3.6659
13.2314 -4.4045 -6.1424
16.0414 -0.8059 4.0684
```



[7]
First-principles (PBE) data for a geometry-optimized Tl2CrCu2I6 structure, as listed in Alexandria via LeMat-Bulk.

SG	No. 12

Cell and atoms, written as POSCAR:
```
Tl2CrCu2I6
1.0
-5.3542 -4.2934 3.8546
8.1596 -1.2620 1.8915
-3.7009 6.9815 2.6354
Tl Cr Cu I
2 1 2 6
Cartesian
-0.8529 -2.2124 4.3881
-0.0427 3.6385 3.9934
-4.5276 1.3441 3.2450
-0.4991 -0.1467 7.1803
-0.3964 1.5728 1.2011
-2.2780 0.6882 5.6393
5.3163 -0.4476 3.0235
-3.6387 3.9371 3.5055
-6.2119 1.8738 5.3580
2.7431 -2.5110 4.8760
1.3824 0.7379 2.7421
```



[8]
First-principles (PBE) data for a geometry-optimized K2Tl2SnBr6 structure, as listed in Alexandria via LeMat-Bulk.

SG	No. 12

Cell and atoms, written as POSCAR:
```
K2Tl2SnBr6
1.0
8.0015 0.1464 0.1139
-3.8275 7.0282 0.1139
-1.4773 -2.5393 7.5230
K Tl Sn Br
2 2 1 6
Cartesian
-0.5611 3.4286 3.8754
3.2578 1.2068 3.8754
5.9052 1.3660 0.1139
-1.7312 5.8086 0.1139
-0.7386 -1.2696 3.7615
2.1819 3.7504 5.6954
-1.9831 0.8679 5.5235
0.5149 0.8850 2.0555
1.7346 -1.2949 5.5235
4.6798 3.7675 2.2273
0.9621 5.9303 2.2273
```



[9]
First-principles (PBE) data for a geometry-optimized La7Sm12In structure, as listed in Alexandria via LeMat-Bulk.

ΔH_f (0 K)	2.75	eV/f.u.
SG	No. 148

Cell and atoms, written as POSCAR:
```
La7Sm12In
1.0
8.6405 1.7116 -1.3141
-1.7484 8.6331 -1.3141
1.1403 1.7116 8.6651
La Sm In
7 12 1
Cartesian
1.6079 7.0664 5.6145
3.7606 3.9451 6.0537
0.9983 7.8508 1.9290
4.0162 6.0282 3.0185
7.0342 4.2055 4.1080
4.2718 8.1113 -0.0167
6.4245 4.9900 0.4225
0.4863 4.4107 7.2177
6.6845 3.8346 7.5768
4.1407 2.4241 2.2162
7.0587 8.0956 2.6758
0.0197 9.9088 4.3140
5.7251 7.3014 6.0363
2.3074 4.7549 0.0007
8.0128 2.1476 1.7230
0.9737 3.9608 3.3612
3.8917 9.6322 3.8208
1.3480 8.2217 -1.5398
7.5461 7.6457 -1.1806
0.0000 0.0000 0.0000
```



[10]
First-principles (PBE) data for a geometry-optimized Sc3HgW structure, as listed in Alexandria via LeMat-Bulk.

ΔE to the lowest computed polymorph	747	meV/atom
ΔH_f (0 K)	6.33	eV/f.u.
SG	No. 221

Cell and atoms, written as POSCAR:
```
Sc3HgW
1.0
-1.8395 4.4260 -1.7713
-0.2906 -1.9991 -4.6936
-4.7584 -1.5889 0.9714
Sc Hg W
3 1 1
Cartesian
-0.1453 -0.9996 -2.3468
-2.3792 -0.7944 0.4857
-0.9197 2.2130 -0.8856
0.0000 0.0000 0.0000
-3.4443 0.4190 -2.7467
```



[11]
First-principles (PBE) data for a geometry-optimized LaBeCu structure, as listed in Alexandria via LeMat-Bulk.

ΔE to the lowest computed polymorph	0	meV/atom
ΔH_f (0 K)	-0.02	eV/f.u.
SG	No. 187

Cell and atoms, written as POSCAR:
```
LaBeCu
1.0
-3.7915 -1.7494 0.3817
2.4671 0.4124 3.3653
-1.5679 3.5538 0.7140
Be Cu La
1 1 1
Cartesian
-0.2611 0.5919 0.1189
0.1195 0.2843 2.4898
-2.7506 1.3406 1.8522
```



[12]
First-principles (PBE) data for a geometry-optimized CoMo3P structure, as listed in Alexandria via LeMat-Bulk.

ΔH_f (0 K)	6.57	eV/f.u.
SG	No. 221

Cell and atoms, written as POSCAR:
```
CoMo3P
1.0
4.4333 0.0000 0.0000
0.0000 4.4333 0.0000
0.0000 0.0000 4.4333
P Mo Co
1 3 1
Cartesian
2.2167 2.2167 2.2167
0.0000 2.2167 0.0000
0.0000 0.0000 2.2167
2.2167 0.0000 0.0000
0.0000 0.0000 0.0000
```



[13]
First-principles (PBE) data for a geometry-optimized TlBr3F structure, as listed in Alexandria via LeMat-Bulk.

ΔE to the lowest computed polymorph	21	meV/atom
SG	No. 1

Cell and atoms, written as POSCAR:
```
TlBr3F
1.0
4.2961 -0.0001 -0.0011
2.1284 3.8648 0.0010
0.1637 1.2333 9.1945
Tl Br F
1 3 1
Cartesian
4.6000 1.5009 7.9406
2.3648 3.9482 3.6083
2.4463 2.8176 6.0664
4.4546 1.3632 1.5325
4.5794 4.2723 8.3752
```



[14]
First-principles (PBE) data for a geometry-optimized TmAlCo4 structure, as listed in Alexandria via LeMat-Bulk.

ΔE to the lowest computed polymorph	0	meV/atom
ΔH_f (0 K)	-1.61	eV/f.u.
SG	No. 187

Cell and atoms, written as POSCAR:
```
TmAlCo4
1.0
2.4998 -4.3298 0.0000
2.4998 4.3298 0.0000
0.0000 0.0000 3.8912
Tm Al Co
1 1 4
Cartesian
0.0000 0.0000 0.0000
2.4998 1.4433 0.0000
2.4998 -1.4433 0.0000
1.2715 -2.1524 1.9456
3.7281 -2.1524 1.9456
2.4998 -0.0250 1.9456
```



[15]
First-principles (PBE) data for a geometry-optimized Er2AgMo structure, as listed in Alexandria via LeMat-Bulk.

ΔH_f (0 K)	0.10	eV/f.u.
SG	No. 123

Cell and atoms, written as POSCAR:
```
Er2AgMo
1.0
-1.6586 -2.9881 0.6828
3.0405 -1.7022 -0.0634
0.8167 1.1907 7.1952
Mo Ag Er
1 1 2
Cartesian
0.6909 -2.3452 0.3097
1.0993 -1.7498 3.9072
0.6272 0.9144 5.5257
0.1895 0.2763 1.6694
```



[16]
First-principles (PBE) data for a geometry-optimized Zr2SO4 structure, as listed in Alexandria via LeMat-Bulk.

SG	No. 139

Cell and atoms, written as POSCAR:
```
Zr2SO4
1.0
3.8155 0.0000 0.0000
0.0000 3.8155 0.0000
1.9078 1.9078 6.4142
S O Zr
1 4 2
Cartesian
0.0000 0.0000 0.0000
3.8155 3.8155 2.7026
1.9078 1.9078 3.7116
0.0000 1.9078 0.0000
1.9078 0.0000 0.0000
3.8155 3.8155 4.6144
1.9078 1.9078 1.7998
```



[17]
First-principles (PBE) data for a geometry-optimized ZrBeCu structure, as listed in Alexandria via LeMat-Bulk.

ΔE to the lowest computed polymorph	368	meV/atom
ΔH_f (0 K)	0.58	eV/f.u.
SG	No. 216

Cell and atoms, written as POSCAR:
```
ZrBeCu
1.0
4.1286 0.0000 0.0000
2.0643 3.5755 0.0000
2.0643 1.1918 3.3710
Be Cu Zr
1 1 1
Cartesian
4.1286 2.3837 1.6855
6.1929 3.5755 2.5283
0.0000 0.0000 0.0000
```



[18]
First-principles (PBE) data for a geometry-optimized TbPm5NdY2 structure, as listed in Alexandria via LeMat-Bulk.

ΔH_f (0 K)	1.29	eV/f.u.
SG	No. 36

Cell and atoms, written as POSCAR:
```
TbPm5NdY2
1.0
5.7214 0.0000 0.0000
-2.8607 10.1729 0.0000
0.0000 0.0000 10.6564
Tb Pm Nd Y
2 10 2 4
Cartesian
2.8607 6.0866 5.4405
0.0000 4.0863 0.1124
0.0000 7.9333 0.2579
2.8607 4.4514 8.6515
0.0000 9.7424 7.8953
0.0000 6.0440 7.5207
2.8607 9.8035 5.5691
2.8607 2.2395 5.5861
0.0000 5.7214 3.3233
2.8607 0.4305 2.5671
2.8607 4.1289 2.1925
0.0000 0.3694 0.2409
2.8607 1.7680 10.1616
0.0000 8.4049 4.8334
2.8607 7.8042 8.7531
0.0000 2.2920 7.8126
0.0000 2.3687 3.4249
2.8607 7.8809 2.4845
```



[19]
First-principles (PBE) data for a geometry-optimized NbTlW3 structure, as listed in Alexandria via LeMat-Bulk.

ΔE to the lowest computed polymorph	0	meV/atom
ΔH_f (0 K)	11.26	eV/f.u.
SG	No. 221

Cell and atoms, written as POSCAR:
```
NbTlW3
1.0
-2.8822 3.0468 -2.3912
-1.8895 -3.7080 -2.4472
-3.3810 -0.5251 3.4061
Tl Nb W
1 1 3
Cartesian
-4.0763 -0.5932 -0.7162
0.0000 0.0000 0.0000
-0.9447 -1.8540 -1.2236
-1.6905 -0.2626 1.7030
-1.4411 1.5234 -1.1956
```



[20]
First-principles (PBE) data for a geometry-optimized In12SnPb3 structure, as listed in Alexandria via LeMat-Bulk.

ΔH_f (0 K)	0.24	eV/f.u.
SG	No. 123

Cell and atoms, written as POSCAR:
```
In12SnPb3
1.0
-3.9110 -0.4170 -3.2227
0.3742 -5.0670 0.2015
-11.0278 -0.2809 13.4195
In Sn Pb
12 1 3
Cartesian
-1.7684 -2.7420 -1.5106
-4.4994 -2.8115 1.8127
-7.2823 -2.8824 5.1991
-10.0651 -2.9533 8.5855
-3.2919 -0.2425 0.0149
-6.0811 -0.3136 3.4090
-8.8577 -0.3843 6.7878
-11.6468 -0.4553 10.1819
-1.1493 -2.5675 1.7270
-3.9385 -2.6386 5.1211
-6.7151 -2.7093 8.4999
-9.5043 -2.7803 11.8939
0.0000 0.0000 0.0000
-2.7388 -0.0698 3.3328
-5.5139 -0.1404 6.7097
-8.2889 -0.2111 10.0866
```



Computed VASP energy, in the same sequence as the records: -2.09 -6.34 -4.71 -3.71 -3.68 -2.28 -3.20 -3.07 -4.56 -5.18 -4.26 -7.69 -2.47 -6.38 -5.68 -7.06 -5.26 -4.98 -8.01 -2.98 eV per atom.
Computed size of the total moment, in the same sequence as the records: 0.0 0.0 0.0 1.0 5.0 0.0 4.0 0.0 0.0 0.0 0.0 0.0 0.0 4.5 0.0 0.0 0.0 0.0 0.0 0.0 Bohr magnetons per cell.
Computed calculated density, in the same sequence as the records: 6.125 6.720 7.630 8.122 2.076 2.713 5.432 4.172 6.800 6.463 5.839 7.198 5.037 8.509 10.029 4.953 5.465 6.457 12.526 7.831 Mg/m³.